Record 1
First-principles (GGA-PBE) data for crystalline ScZn2Pd5 at its relaxed geometry, as listed in Alexandria.

```
data_ScZn2Pd5
_chemical_formula_sum 'Sc1 Zn2 Pd5'
_cell_length_a 4.0818
_cell_length_b 4.0818
_cell_length_c 7.9045
_cell_angle_alpha 104.96
_cell_angle_beta 104.96
_cell_angle_gamma 90.00
_symmetry_space_group_name_H-M 'P 1'
_symmetry_Int_Tables_number 1
loop_
_symmetry_equiv_pos_as_xyz
'x,y,z'
loop_
_atom_site_label
_atom_site_type_symbol
_atom_site_fract_x
_atom_site_fract_y
_atom_site_fract_z
Pd1 Pd 0.1354 0.6354 0.2708
Pd2 Pd 0.5000 0.5000 0.0000
Pd3 Pd 0.3646 0.8646 0.7292
Zn1 Zn 0.7486 0.7486 0.4972
Zn2 Zn 0.2514 0.2514 0.5028
Pd4 Pd 0.6354 0.1354 0.2708
Sc1 Sc 0.0000 0.0000 0.0000
Pd5 Pd 0.8646 0.3646 0.7292
```

Final energy, eV per atom: -5.049
Crystal system: tetragonal


Record 2
First-principles (GGA-PBE) data for crystalline GaSi3H at its relaxed geometry, as listed in Alexandria.

```
data_GaSi3H
_chemical_formula_sum 'Ga1 Si3 H1'
_cell_length_a 4.0488
_cell_length_b 4.0488
_cell_length_c 4.0488
_cell_angle_alpha 90.00
_cell_angle_beta 90.00
_cell_angle_gamma 90.00
_symmetry_space_group_name_H-M 'P 1'
_symmetry_Int_Tables_number 1
loop_
_symmetry_equiv_pos_as_xyz
'x,y,z'
loop_
_atom_site_label
_atom_site_type_symbol
_atom_site_fract_x
_atom_site_fract_y
_atom_site_fract_z
Si1 Si 0.0000 0.0000 0.5000
Si2 Si 0.5000 0.0000 0.0000
Ga1 Ga 0.5000 0.5000 0.5000
Si3 Si 0.0000 0.5000 0.0000
H1 H 0.0000 0.0000 0.0000
```

Final energy, eV per atom: -3.939
Crystal system: cubic


Record 3
First-principles (GGA-PBE) data for crystalline Fe2Ni9Mo at its relaxed geometry, as listed in Alexandria.

```
data_Fe2Ni9Mo
_chemical_formula_sum 'Fe2 Ni9 Mo1'
_cell_length_a 3.5778
_cell_length_b 3.5778
_cell_length_c 10.7281
_cell_angle_alpha 90.00
_cell_angle_beta 90.00
_cell_angle_gamma 90.00
_symmetry_space_group_name_H-M 'P 1'
_symmetry_Int_Tables_number 1
loop_
_symmetry_equiv_pos_as_xyz
'x,y,z'
loop_
_atom_site_label
_atom_site_type_symbol
_atom_site_fract_x
_atom_site_fract_y
_atom_site_fract_z
Fe1 Fe 0.0000 0.0000 0.6610
Ni1 Ni 0.5000 0.5000 0.6648
Ni2 Ni 0.5000 0.5000 0.3352
Ni3 Ni 0.5000 0.0000 0.5000
Ni4 Ni 0.5000 0.0000 0.8303
Ni5 Ni 0.0000 0.5000 0.8303
Ni6 Ni 0.5000 0.0000 0.1697
Ni7 Ni 0.0000 0.5000 0.5000
Ni8 Ni 0.5000 0.5000 0.0000
Fe2 Fe 0.0000 0.0000 0.3390
Ni9 Ni 0.0000 0.5000 0.1697
Mo1 Mo 0.0000 0.0000 0.0000
```

Final energy, eV per atom: -6.706
Crystal system: tetragonal


Record 4
First-principles (GGA-PBE) data for crystalline NdAl2CuAu4 at its relaxed geometry, as listed in Alexandria.

```
data_NdAl2CuAu4
_chemical_formula_sum 'Nd1 Al2 Cu1 Au4'
_cell_length_a 4.4306
_cell_length_b 4.4306
_cell_length_c 9.2972
_cell_angle_alpha 76.22
_cell_angle_beta 76.22
_cell_angle_gamma 60.00
_symmetry_space_group_name_H-M 'P 1'
_symmetry_Int_Tables_number 1
loop_
_symmetry_equiv_pos_as_xyz
'x,y,z'
loop_
_atom_site_label
_atom_site_type_symbol
_atom_site_fract_x
_atom_site_fract_y
_atom_site_fract_z
Al1 Al 0.2371 0.2371 0.2887
Au1 Au 0.6005 0.6005 0.1986
Au2 Au 0.1330 0.1330 0.6010
Nd1 Nd 0.0000 0.0000 0.0000
Au3 Au 0.3995 0.3995 0.8014
Al2 Al 0.7629 0.7629 0.7113
Cu1 Cu 0.5000 0.5000 0.5000
Au4 Au 0.8670 0.8670 0.3990
```

Final energy, eV per atom: -4.170
Crystal system: trigonal